InGeW3 | GGA-PBE | optimized geometry

```
InGeW3
1.0
4.892 0.000 0.000
0.000 4.892 0.000
0.000 0.000 4.892
W In Ge
3 1 1
direct
0.000 0.500 0.000 W
0.500 0.000 0.000 W
0.000 0.000 0.500 W
0.000 0.000 0.000 In
0.500 0.500 0.500 Ge
```

Summary:
ΔH_f (0 K) = 14.88 eV per formula unit
DOS(E_F) = 1.320 states/eV per atom
Space group = Pm-3m, No. 221

***

InGeW3 | GGA-PBE | optimized geometry

```
InGeW3
1.0
4.642 0.000 0.000
0.000 4.642 0.000
0.000 0.000 4.642
In Ge W
1 1 3
direct
0.500 0.500 0.500 In
0.000 0.000 0.000 Ge
0.500 0.000 0.000 W
0.000 0.000 0.500 W
0.000 0.500 0.000 W
```

Summary:
ΔH_f (0 K) = 7.97 eV per formula unit
DOS(E_F) = 0.910 states/eV per atom
Space group = Pm-3m, No. 221

***

In3GeW | GGA-PBE | optimized geometry

```
In3GeW
1.0
-2.843 4.249 1.392
-4.084 -3.139 1.240
1.819 -0.408 4.960
In Ge W
3 1 1
direct
0.500 0.000 0.000 In
0.000 0.500 0.000 In
0.000 0.000 0.500 In
0.500 0.500 0.500 Ge
0.000 0.000 0.000 W
```

Summary:
ΔH_f (0 K) = 4.76 eV per formula unit
DOS(E_F) = 0.904 states/eV per atom
Space group = Pm-3m, No. 221

***

Y2InGe2 | GGA-PBE | optimized geometry

```
Y2InGe2
1.0
5.014 0.000 0.000
0.000 5.014 0.000
2.507 2.507 5.487
Y Ge In
2 2 1
direct
0.750 0.250 0.500 Y
0.250 0.750 0.500 Y
0.612 0.612 0.776 Ge
0.388 0.388 0.224 Ge
0.000 0.000 0.000 In
```

Summary:
ΔH_f (0 K) = -1.41 eV per formula unit
DOS(E_F) = 0.995 states/eV per atom
Space group = I4/mmm, No. 139

***

YIn3Ge | GGA-PBE | optimized geometry

```
YIn3Ge
1.0
-2.920 4.977 0.318
-0.765 -0.083 -5.728
-4.928 -2.937 0.701
In Ge Y
3 1 1
direct
0.000 0.500 0.000 In
0.000 0.000 0.500 In
0.500 0.000 0.000 In
0.500 0.500 0.500 Ge
0.000 0.000 0.000 Y
```

Summary:
ΔH_f (0 K) = 4.05 eV per formula unit
DOS(E_F) = 0.672 states/eV per atom
Space group = Pm-3m, No. 221

***

Y11In6Ge4 | GGA-PBE | optimized geometry

```
Y11In6Ge4
1.0
-6.885 8.998 2.258
0.146 -2.675 11.238
9.921 1.589 -5.702
Y Ge In
22 8 12
direct
0.102 0.447 0.346 Y
0.553 0.898 0.654 Y
0.898 0.244 0.346 Y
0.563 0.314 0.250 Y
0.668 0.668 0.337 Y
0.833 0.833 0.000 Y
0.437 0.686 0.750 Y
0.686 0.437 0.750 Y
0.314 0.563 0.250 Y
0.102 0.756 0.654 Y
0.936 0.686 0.250 Y
0.898 0.553 0.654 Y
0.668 0.332 0.000 Y
0.756 0.102 0.654 Y
0.167 0.167 0.000 Y
0.686 0.936 0.250 Y
0.332 0.668 0.000 Y
0.064 0.314 0.750 Y
0.244 0.898 0.346 Y
0.332 0.332 0.663 Y
0.314 0.064 0.750 Y
0.447 0.102 0.346 Y
0.500 0.847 0.347 Ge
0.500 0.153 0.653 Ge
0.380 0.380 0.000 Ge
0.750 0.250 0.500 Ge
0.847 0.500 0.347 Ge
0.620 0.620 0.000 Ge
0.153 0.500 0.653 Ge
0.250 0.750 0.500 Ge
0.871 0.129 0.000 In
0.129 0.871 0.000 In
0.965 0.965 0.587 In
0.377 0.377 0.413 In
0.965 0.377 0.000 In
0.871 0.871 0.742 In
0.129 0.129 0.258 In
0.035 0.623 0.000 In
0.035 0.035 0.413 In
0.377 0.965 0.000 In
0.623 0.035 0.000 In
0.623 0.623 0.587 In
```

Summary:
ΔH_f (0 K) = -14.64 eV per formula unit
DOS(E_F) = 0.610 states/eV per atom
Space group = I4/mmm, No. 139

***

Y2In2Ge | GGA-PBE | optimized geometry

```
Y2In2Ge
1.0
7.467 0.000 0.000
0.000 7.467 0.000
0.000 0.000 4.667
Y In Ge
4 4 2
direct
0.832 0.332 0.500 Y
0.168 0.668 0.500 Y
0.332 0.168 0.500 Y
0.668 0.832 0.500 Y
0.864 0.636 0.000 In
0.636 0.136 0.000 In
0.364 0.864 0.000 In
0.136 0.364 0.000 In
0.000 0.000 0.000 Ge
0.500 0.500 0.000 Ge
```

Summary:
ΔH_f (0 K) = -2.00 eV per formula unit
DOS(E_F) = 0.249 states/eV per atom
Space group = P4/mbm, No. 127

***

Y2InGe2 | GGA-PBE | optimized geometry

```
Y2InGe2
1.0
-3.749 1.735 0.684
0.542 -1.681 7.234
3.272 6.566 1.280
Y Ge In
4 4 2
direct
0.500 0.321 0.179 Y
0.500 0.179 0.679 Y
0.500 0.679 0.821 Y
0.500 0.821 0.321 Y
0.000 0.121 0.379 Ge
0.000 0.879 0.621 Ge
0.000 0.621 0.121 Ge
0.000 0.379 0.879 Ge
0.000 0.000 0.000 In
0.000 0.500 0.500 In
```

Summary:
ΔH_f (0 K) = -3.61 eV per formula unit
DOS(E_F) = 0.700 states/eV per atom
Space group = P4/mbm, No. 127

***

Y2InGe2 | GGA-PBE | optimized geometry

```
Y2InGe2
1.0
4.131 0.000 0.000
0.000 3.890 0.000
0.000 -1.945 7.402
Ge Y In
2 2 1
direct
0.000 0.806 0.612 Ge
0.000 0.194 0.388 Ge
0.500 0.364 0.727 Y
0.500 0.636 0.273 Y
0.000 0.000 0.000 In
```

Summary:
ΔH_f (0 K) = -3.26 eV per formula unit
DOS(E_F) = 0.416 states/eV per atom
Space group = Cmmm, No. 65

***

YInGe2 | GGA-PBE | optimized geometry

```
YInGe2
1.0
-3.684 -1.197 6.678
3.962 -6.548 1.012
2.409 -2.261 5.386
Y Ge In
2 4 2
direct
0.500 0.500 0.000 Y
0.250 0.750 0.500 Y
0.875 0.900 0.750 Ge
0.650 0.125 0.250 Ge
0.100 0.625 0.250 Ge
0.375 0.350 0.750 Ge
0.000 0.000 0.000 In
0.750 0.250 0.500 In
```

Summary:
ΔH_f (0 K) = -0.81 eV per formula unit
DOS(E_F) = 0.107 states/eV per atom
Space group = I-42d, No. 122

***

YInGe3 | GGA-PBE | optimized geometry

```
YInGe3
1.0
5.439 0.000 0.000
0.000 5.439 0.000
0.000 0.000 5.439
Ge Y In
3 1 1
direct
0.000 0.000 0.500 Ge
0.000 0.500 0.000 Ge
0.500 0.000 0.000 Ge
0.000 0.000 0.000 Y
0.500 0.500 0.500 In
```

Summary:
ΔH_f (0 K) = 2.73 eV per formula unit
DOS(E_F) = 0.490 states/eV per atom
Space group = Pm-3m, No. 221

***

YInGe2 | GGA-PBE | optimized geometry

```
YInGe2
1.0
4.104 0.000 0.000
0.000 4.617 0.000
0.000 0.000 4.617
Y Ge In
1 2 1
direct
0.500 0.000 0.000 Y
0.000 0.500 0.000 Ge
0.000 0.000 0.500 Ge
0.500 0.500 0.500 In
```

Summary:
ΔH_f (0 K) = -1.62 eV per formula unit
DOS(E_F) = 0.608 states/eV per atom
Space group = P4/mmm, No. 123

***

YInGe3 | GGA-PBE | optimized geometry

```
YInGe3
1.0
5.177 0.000 0.000
0.000 5.177 0.000
0.000 0.000 5.177
Ge Y In
3 1 1
direct
0.500 0.000 0.000 Ge
0.000 0.500 0.000 Ge
0.000 0.000 0.500 Ge
0.500 0.500 0.500 Y
0.000 0.000 0.000 In
```

Summary:
ΔH_f (0 K) = 2.60 eV per formula unit
DOS(E_F) = 0.784 states/eV per atom
Space group = Pm-3m, No. 221

***

Y2In2Ge | GGA-PBE | optimized geometry

```
Y2In2Ge
1.0
7.607 0.000 0.000
0.000 7.607 0.000
0.000 0.000 4.830
Ge Y In
2 4 4
direct
0.500 0.500 0.000 Ge
0.000 0.000 0.000 Ge
0.837 0.663 0.000 Y
0.163 0.337 0.000 Y
0.663 0.163 0.000 Y
0.337 0.837 0.000 Y
0.356 0.144 0.500 In
0.644 0.856 0.500 In
0.856 0.356 0.500 In
0.144 0.644 0.500 In
```

Summary:
ΔH_f (0 K) = -1.69 eV per formula unit
DOS(E_F) = 0.839 states/eV per atom
Space group = P4/mbm, No. 127

***

Y3InGe | GGA-PBE | optimized geometry

```
Y3InGe
1.0
-1.595 4.763 2.002
-2.292 1.225 -4.741
-4.630 -2.247 1.658
Y In Ge
3 1 1
direct
0.500 0.000 0.000 Y
0.000 0.000 0.500 Y
0.000 0.500 0.000 Y
0.500 0.500 0.500 In
0.000 0.000 0.000 Ge
```

Summary:
ΔH_f (0 K) = -1.73 eV per formula unit
DOS(E_F) = 0.286 states/eV per atom
Space group = Pm-3m, No. 221

***

Y5InGe2 | GGA-PBE | optimized geometry

```
Y5InGe2
1.0
7.109 0.000 -3.356
-1.584 6.930 -3.356
-0.158 -0.198 8.874
Y Ge In
10 4 2
direct
0.019 0.519 0.719 Y
0.301 0.801 0.281 Y
0.519 0.699 0.719 Y
0.199 0.019 0.719 Y
0.981 0.481 0.281 Y
0.801 0.981 0.281 Y
0.699 0.199 0.719 Y
0.000 0.000 0.000 Y
0.500 0.500 0.000 Y
0.481 0.301 0.281 Y
0.644 0.144 0.000 Ge
0.856 0.644 0.000 Ge
0.356 0.856 0.000 Ge
0.144 0.356 0.000 Ge
0.250 0.250 0.500 In
0.750 0.750 0.500 In
```

Summary:
ΔH_f (0 K) = -5.52 eV per formula unit
DOS(E_F) = 0.667 states/eV per atom
Space group = I4/mcm, No. 140

***

YInGe2 | GGA-PBE | optimized geometry

```
YInGe2
1.0
-4.221 0.322 -2.122
-3.921 -1.286 2.322
-3.202 4.139 1.714
Y Ge In
1 2 1
direct
0.500 0.500 0.500 Y
0.723 0.723 0.831 Ge
0.277 0.277 0.169 Ge
0.000 0.000 0.000 In
```

Summary:
ΔH_f (0 K) = -0.75 eV per formula unit
DOS(E_F) = 0.708 states/eV per atom
Space group = R-3m, No. 166

***

Y2InGe2 | GGA-PBE | optimized geometry

```
Y2InGe2
1.0
-5.301 6.487 1.447
-2.621 -3.741 7.170
2.468 1.626 1.751
In Ge Y
2 4 4
direct
0.000 0.000 0.000 In
0.500 0.500 0.000 In
0.837 0.337 0.500 Ge
0.663 0.837 0.500 Ge
0.337 0.163 0.500 Ge
0.163 0.663 0.500 Ge
0.640 0.140 0.000 Y
0.860 0.640 0.000 Y
0.360 0.860 0.000 Y
0.140 0.360 0.000 Y
```

Summary:
ΔH_f (0 K) = -2.20 eV per formula unit
DOS(E_F) = 0.391 states/eV per atom
Space group = P4/mbm, No. 127

***

YIn3Ge | GGA-PBE | optimized geometry

```
YIn3Ge
1.0
-3.953 3.518 -0.496
-3.525 -3.976 -0.104
-0.440 0.252 5.291
In Y Ge
3 1 1
direct
0.000 0.500 0.000 In
0.500 0.000 0.000 In
0.000 0.000 0.500 In
0.500 0.500 0.500 Y
0.000 0.000 0.000 Ge
```

Summary:
ΔH_f (0 K) = 1.42 eV per formula unit
DOS(E_F) = 0.645 states/eV per atom
Space group = Pm-3m, No. 221

***

YInGe4 | GGA-PBE | optimized geometry

```
YInGe4
1.0
5.643 0.000 0.000
2.821 4.887 0.000
2.821 1.629 4.607
In Ge Y
1 4 1
direct
0.000 0.000 0.000 In
0.625 0.126 0.625 Ge
0.126 0.625 0.625 Ge
0.625 0.625 0.625 Ge
0.625 0.625 0.126 Ge
0.250 0.250 0.250 Y
```

Summary:
ΔH_f (0 K) = -0.91 eV per formula unit
DOS(E_F) = 0.553 states/eV per atom
Space group = F-43m, No. 216

***

Y2InGe2 | GGA-PBE | optimized geometry

```
Y2InGe2
1.0
-2.613 -2.645 0.519
1.354 -1.913 -2.932
4.887 -6.666 4.203
Ge In Y
2 1 2
direct
0.750 0.250 0.500 Ge
0.250 0.750 0.500 Ge
0.000 0.000 0.000 In
0.384 0.384 0.231 Y
0.616 0.616 0.769 Y
```

Summary:
ΔH_f (0 K) = -2.23 eV per formula unit
DOS(E_F) = 0.600 states/eV per atom
Space group = I4/mmm, No. 139

***

Zn3InGe | GGA-PBE | optimized geometry

```
Zn3InGe
1.0
5.073 0.000 0.000
0.000 5.073 0.000
0.000 0.000 5.073
Ge Zn In
1 3 1
direct
0.500 0.500 0.500 Ge
0.000 0.000 0.500 Zn
0.500 0.000 0.000 Zn
0.000 0.500 0.000 Zn
0.000 0.000 0.000 In
```

Summary:
ΔH_f (0 K) = 3.85 eV per formula unit
DOS(E_F) = 0.645 states/eV per atom
Space group = Pm-3m, No. 221

***

ZnIn2Ge | GGA-PBE | optimized geometry

```
ZnIn2Ge
1.0
-0.555 -2.200 -3.667
3.422 -1.210 -2.327
1.208 -6.255 1.035
Zn In Ge
1 2 1
direct
0.664 0.664 0.009 Zn
0.254 0.254 0.239 In
0.076 0.076 0.773 In
0.507 0.507 0.479 Ge
```

Summary:
ΔH_f (0 K) = 0.62 eV per formula unit
DOS(E_F) = 0.434 states/eV per atom
Space group = R3m, No. 160

***

ZnIn2Ge | GGA-PBE | optimized geometry

```
ZnIn2Ge
1.0
-1.635 -1.993 1.886
1.348 -1.150 2.657
-3.862 7.251 7.019
In Ge Zn
2 1 1
direct
0.087 0.087 0.739 In
0.913 0.913 0.261 In
0.500 0.500 0.500 Ge
0.000 0.000 0.000 Zn
```

Summary:
ΔH_f (0 K) = 0.87 eV per formula unit
DOS(E_F) = 0.453 states/eV per atom
Space group = R-3m, No. 166

***

Zn2InGe | GGA-PBE | optimized geometry

```
Zn2InGe
1.0
3.634 0.000 0.000
1.817 3.147 0.000
1.817 1.049 7.213
In Ge Zn
1 1 2
direct
0.500 0.500 0.500 In
0.000 0.000 0.000 Ge
0.260 0.260 0.220 Zn
0.740 0.740 0.780 Zn
```

Summary:
ΔH_f (0 K) = 0.69 eV per formula unit
DOS(E_F) = 0.373 states/eV per atom
Space group = R-3m, No. 166